# As2Pd3Se, optimized geometry, DFT GGA-PBE
data_As2Pd3Se
_chemical_formula_sum 'As8 Pd12 Se4'
_space_group_name_H-M_alt 'C m c 21'
_space_group_IT_number 36
_cell_length_a 12.8317
_cell_length_b 7.4318
_cell_length_c 5.0553
_cell_angle_alpha 90.00
_cell_angle_beta 90.00
_cell_angle_gamma 90.00
loop_
_space_group_symop_operation_xyz
'x,y,z'
'-x,-y,z+1/2'
'-x,y,z'
'x,-y,z+1/2'
'x+1/2,y+1/2,z'
'-x+1/2,-y+1/2,z+1/2'
'-x+1/2,y+1/2,z'
'x+1/2,-y+1/2,z+1/2'
loop_
_atom_site_label
_atom_site_type_symbol
_atom_site_fract_x
_atom_site_fract_y
_atom_site_fract_z
_atom_site_occupancy
As1 As 0.1800 0.2099 0.0000 1
Pd1 Pd 0.0000 0.2876 0.8590 1
Pd2 Pd 0.1495 0.1143 0.5004 1
Se1 Se 0.0000 0.3482 0.3606 1
# Final energy, eV/atom: -4.916